Entry 1:
First-principles (GGA-PBE) data for a relaxed structure of NaMgAs2Br, as listed in Alexandria.

Properties
Space group ... P4/mmm, No. 123
Crystal system ... tetragonal
Final energy ... -0.209 Ry per atom

Unit cell a=5.0754 b=5.0754 c=5.6962 alpha=90.00 beta=90.00 gamma=90.00
Atoms (fractional coordinates):
Na  0.0000  0.0000  0.0000
Mg  0.5000  0.5000  0.5000
As  0.0000  0.5000  0.5000
As  0.5000  0.0000  0.5000
Br  0.5000  0.5000  0.0000

---

Entry 2:
First-principles (GGA-PBE) data for a relaxed structure of Ti2BeAgGe, as listed in Alexandria.

Properties
Space group ... P4/mmm, No. 123
Crystal system ... tetragonal
Final energy ... -0.336 Ry per atom
ΔH_f (0 K) ... 0.827 eV per atom

Unit cell a=4.7265 b=4.7265 c=4.6962 alpha=90.00 beta=90.00 gamma=90.00
Atoms (fractional coordinates):
Ti  0.0000  0.5000  0.0000
Ti  0.5000  0.0000  0.0000
Be  0.0000  0.0000  0.5000
Ag  0.5000  0.5000  0.5000
Ge  0.5000  0.5000  0.0000

---

Entry 3:
First-principles (GGA-PBE) data for a relaxed structure of PuBeSe2, as listed in Alexandria.

Properties
Space group ... R-3m, No. 166
Crystal system ... trigonal
Final energy ... -0.477 Ry per atom

Unit cell a=8.4319 b=8.4319 c=8.4319 alpha=24.58 beta=24.58 gamma=24.58
Atoms (fractional coordinates):
Pu  0.0000  0.0000  0.0000
Be  0.5000  0.5000  0.5000
Se  0.1133  0.1133  0.1133
Se  0.8867  0.8867  0.8867

---

Entry 4:
First-principles (GGA-PBE) data for a relaxed structure of BaCa12, as listed in Alexandria.

Properties
Space group ... I4/mmm, No. 139
Crystal system ... tetragonal
Final energy ... -0.142 Ry per atom
ΔH_f (0 K) ... 0.063 eV per atom

Unit cell a=9.7680 b=9.7680 c=9.7680 alpha=97.89 beta=97.89 gamma=136.50
Atoms (fractional coordinates):
Ba  0.0000  0.0000  0.0000
Ca  0.0000  0.0000  0.5000
Ca  0.0000  0.3566  0.3566
Ca  0.0000  0.5000  0.0000
Ca  0.0000  0.6434  0.6434
Ca  0.2823  0.5000  0.7823
Ca  0.3566  0.0000  0.3566
Ca  0.5000  0.0000  0.0000
Ca  0.5000  0.2823  0.7823
Ca  0.5000  0.5000  0.5000
Ca  0.5000  0.7177  0.2177
Ca  0.6434  0.0000  0.6434
Ca  0.7177  0.5000  0.2177

---

Entry 5:
First-principles (GGA-PBE) data for a relaxed structure of Tb5SmDyY2, as listed in Alexandria.

Properties
Space group ... Cmc2_1, No. 36
Crystal system ... orthorhombic
Final energy ... -0.360 Ry per atom
ΔH_f (0 K) ... 0.151 eV per atom

Unit cell a=10.3304 b=10.3304 c=10.5964 alpha=90.00 beta=90.00 gamma=148.34
Atoms (fractional coordinates):
Tb  0.0189  0.9811  0.5000
Tb  0.2823  0.7177  0.7863
Tb  0.2985  0.7015  0.1828
Tb  0.3901  0.6099  0.4985
Tb  0.4791  0.5209  0.2142
Tb  0.5209  0.4791  0.7142
Tb  0.6099  0.3901  0.9985
Tb  0.7015  0.2985  0.6828
Tb  0.7177  0.2823  0.2863
Tb  0.9811  0.0189  0.0000
Sm  0.4148  0.5852  0.9306
Sm  0.5852  0.4148  0.4306
Dy  0.2009  0.7991  0.4866
Dy  0.7991  0.2009  0.9866
Y  0.1107  0.8893  0.2106
Y  0.1143  0.8857  0.7956
Y  0.8857  0.1143  0.2956
Y  0.8893  0.1107  0.7106

---

Entry 6:
First-principles (GGA-PBE) data for a relaxed structure of BaPm2NbN4, as listed in Alexandria.

Properties
Space group ... Cmcm, No. 63
Crystal system ... orthorhombic
Final energy ... -0.586 Ry per atom

Unit cell a=6.6744 b=6.6744 c=12.4415 alpha=90.00 beta=90.00 gamma=148.83
Atoms (fractional coordinates):
Ba  0.0888  0.9112  0.7500
Ba  0.9112  0.0888  0.2500
Pm  0.3715  0.6285  0.5354
Pm  0.3715  0.6285  0.9646
Pm  0.6285  0.3715  0.0354
Pm  0.6285  0.3715  0.4646
Nb  0.1739  0.8261  0.2500
Nb  0.8261  0.1739  0.7500
N  0.0000  0.0000  0.0000
N  0.0000  0.0000  0.5000
N  0.2572  0.7428  0.1206
N  0.2572  0.7428  0.3794
N  0.4077  0.5923  0.7500
N  0.5923  0.4077  0.2500
N  0.7428  0.2572  0.6206
N  0.7428  0.2572  0.8794

---

Entry 7:
First-principles (GGA-PBE) data for a relaxed structure of CaPuGeAu, as listed in Alexandria.

Properties
Space group ... F-43m, No. 216
Crystal system ... cubic
Final energy ... -0.484 Ry per atom
ΔH_f (0 K) ... -0.532 eV per atom

Unit cell a=5.1310 b=5.1310 c=5.1310 alpha=60.00 beta=60.00 gamma=60.00
Atoms (fractional coordinates):
Ca  0.0000  0.0000  0.0000
Pu  0.5000  0.5000  0.5000
Ge  0.7500  0.7500  0.7500
Au  0.2500  0.2500  0.2500

---

Entry 8:
First-principles (GGA-PBE) data for a relaxed structure of SrMg6CdAg, as listed in Alexandria.

Properties
Space group ... Imma, No. 74
Crystal system ... orthorhombic
Final energy ... -0.121 Ry per atom
ΔH_f (0 K) ... 0.025 eV per atom

Unit cell a=8.9235 b=8.9235 c=8.9235 alpha=128.84 beta=111.71 gamma=90.18
Atoms (fractional coordinates):
Sr  0.4486  0.1986  0.2500
Sr  0.5514  0.8014  0.7500
Mg  0.1193  0.4253  0.2957
Mg  0.1193  0.8235  0.6940
Mg  0.1693  0.9193  0.2500
Mg  0.2496  0.4996  0.7500
Mg  0.3705  0.1765  0.7957
Mg  0.3705  0.5747  0.1940
Mg  0.6295  0.4253  0.8060
Mg  0.6295  0.8235  0.2043
Mg  0.7504  0.5004  0.2500
Mg  0.8307  0.0807  0.7500
Mg  0.8807  0.1765  0.3060
Mg  0.8807  0.5747  0.7043
Cd  0.0000  0.0000  0.5000
Cd  0.0000  0.5000  0.0000
Ag  0.0000  0.0000  0.0000
Ag  0.5000  0.0000  0.5000

---

Entry 9:
First-principles (GGA-PBE) data for a relaxed structure of Ac3ZnIr3, as listed in Alexandria.

Properties
Space group ... Cmcm, No. 63
Crystal system ... orthorhombic
Final energy ... -0.464 Ry per atom
ΔH_f (0 K) ... -0.566 eV per atom

Unit cell a=5.9117 b=5.9117 c=14.6107 alpha=90.00 beta=90.00 gamma=136.95
Atoms (fractional coordinates):
Ac  0.0152  0.9848  0.7500
Ac  0.2920  0.7080  0.6048
Ac  0.2920  0.7080  0.8952
Ac  0.7080  0.2920  0.1048
Ac  0.7080  0.2920  0.3952
Ac  0.9848  0.0152  0.2500
Zn  0.0000  0.0000  0.0000
Zn  0.0000  0.0000  0.5000
Ir  0.2751  0.7249  0.2500
Ir  0.4216  0.5784  0.0858
Ir  0.4216  0.5784  0.4142
Ir  0.5784  0.4216  0.5858
Ir  0.5784  0.4216  0.9142
Ir  0.7249  0.2751  0.7500

---

What is the formula in the sixth record? BaPm2NbN4